Record 1
Entry from the Alexandria database: an optimized crystal structure of ScUMo (PBE-GGA).

Properties
**E_form**: 192 kJ/mol of formula units

Lattice parameters (Å, degrees): 6.0475 6.0475 8.4198 90.00 90.00 90.00
Space group P4_12_12 (No. 92)
Inequivalent atoms, fractional coordinates:
Sc 0.2049 0.2049 0.0000 (multiplicity 4)
U 0.1916 0.1916 0.5000 (multiplicity 4)
Mo 0.0326 0.9674 0.7500 (multiplicity 4)

Record 2
Entry from the Alexandria database: an optimized crystal structure of InGa2Br (PBE-GGA).

Properties
**Formation energy (no corrections)**: -0.001 eV/atom

Lattice parameters (Å, degrees): 6.2765 6.2765 13.5272 90.00 90.00 90.00
Space group I-42d (No. 122)
Inequivalent atoms, fractional coordinates:
In 0.0000 0.0000 0.0000 (multiplicity 4)
Ga 0.2193 0.2500 0.1250 (multiplicity 8)
Br 0.0000 0.0000 0.5000 (multiplicity 4)

What are the magnetization values for these records? In order: 0.444, 0.000 μB per atom.